Density functional theory data (PBE) for a relaxed Mg2ZrCl crystal.

Lattice parameters (Å, degrees): 5.1938 5.1938 5.1938 60.00 60.00 60.00
Last column: nearest neighbours and their distance in Å.
Sites, in units of the cell vectors:
Mg 0.2500 0.2500 0.2500  4 Zr 3.18, 4 Cl 3.18
Mg 0.7500 0.7500 0.7500  4 Zr 3.18, 4 Cl 3.18
Zr 0.5000 0.5000 0.5000  8 Mg 3.18
Cl 0.0000 0.0000 0.0000  8 Mg 3.18

Calculated values
ΔE_f (raw)	398	meV/atom